Computed, not measured: TiBiCl3 after structural relaxation at the PBE level of DFT.

Results
**Total energy**: -4.02 eV per atom
**Volume**: 23.55 A^3/atom
**E_form (uncorrected)**: -0.559 eV per atom
**Energy above the lowest structure with this stoichiometry**: 0.0 kJ per mole of atoms
**Symmetry**: Pm-3m (221)

a = 4.902 Å, b = 4.902 Å, c = 4.902 Å
α = 90.00°, β = 90.00°, γ = 90.00°
Positions (direct):
Ti (0.000, 0.000, 0.000)
Cl (0.500, 0.000, 0.000)
Cl (0.000, 0.000, 0.500)
Cl (0.000, 0.500, 0.000)
Bi (0.500, 0.500, 0.500)